1.
First-principles (GGA-PBE) data for a geometry-optimized K2GeC structure, as listed in the Alexandria database.

Calculated values
Calculated volume   116 Å³ per cell
ρ   2.3 g/cm3
SG   Fm-3m
M_tot   0.00 μB/atom

Cell lengths 5.477, 5.477, 5.477 Å; angles 60.00, 60.00, 60.00 degrees
Element x y z (fractional)
K 0.250 0.250 0.250
K 0.750 0.750 0.750
Ge 0.000 0.000 0.000
C 0.500 0.500 0.500

***

2.
First-principles (GGA-PBE) data for a geometry-optimized K2GeC structure, as listed in the Alexandria database.

Calculated values
Calculated volume   284 Å³ per cell
ρ   1.9 g/cm3
SG   I-42d
M_tot   0.01 μB/atom

Cell lengths 8.736, 8.736, 8.736 Å; angles 92.89, 92.89, 154.04 degrees
Element x y z (fractional)
K 0.375 0.145 0.270
K 0.855 0.125 0.230
K 0.875 0.105 0.730
K 0.895 0.625 0.770
Ge 0.250 0.750 0.500
Ge 0.500 0.500 0.000
C 0.000 0.000 0.000
C 0.750 0.250 0.500

***

Most stable of them? 2.